(1)
K2CrCdSe | GGA-PBEsol | optimized geometry

## Properties
* E_form (uncorrected): 46 meV/atom

Unit cell a=6.2780 b=6.2780 c=4.7450 alpha=90.00 beta=90.00 gamma=90.00
Last column: nearest neighbours and their distance in Å.
Element x y z (fractional)
1 K 0.0000 0.5000 0.0000  2 Se 3.14
2 K 0.5000 0.0000 0.0000  2 Se 3.14
3 Cr 0.0000 0.0000 0.5000  2 Se 2.37
4 Cd 0.5000 0.5000 0.5000  8 K 3.93
5 Se 0.0000 0.0000 0.0000  2 Cr 2.37

(2)
K2ZrCrCd | GGA-PBEsol | optimized geometry

## Properties
* formation enthalpy at 0 K: 1.4312 eV per atom

Unit cell a=6.0048 b=6.0048 c=5.5264 alpha=90.00 beta=90.00 gamma=90.00
Last column: nearest neighbours and their distance in Å.
Element x y z (fractional)
1 K 0.0000 0.5000 0.0000  2 Cd 3.00
2 K 0.5000 0.0000 0.0000  2 Cd 3.00
3 Zr 0.0000 0.0000 0.5000  2 Cd 2.76
4 Cr 0.5000 0.5000 0.5000  8 K 4.08, 4 Zr 4.25
5 Cd 0.0000 0.0000 0.0000  2 Zr 2.76, 4 K 3.00

(3)
LaCrCd2 | GGA-PBEsol | optimized geometry

## Properties
* formation enthalpy at 0 K: 0.3612 eV per atom

Unit cell a=10.3306 b=10.3306 c=10.3306 alpha=17.77 beta=17.77 gamma=17.77
Last column: nearest neighbours and their distance in Å.
Element x y z (fractional)
1 La 0.0000 0.0000 0.0000  6 La 3.19, 6 Cd 3.42
2 Cr 0.5000 0.5000 0.5000  6 Cd 2.87, 6 Cr 3.19
3 Cd 0.2387 0.2387 0.2387  3 Cr 2.87, 6 Cd 3.19
4 Cd 0.7613 0.7613 0.7613  3 Cr 2.87, 6 Cd 3.19

(4)
LaCrCd2 | GGA-PBEsol | optimized geometry

## Properties
* formation enthalpy at 0 K: 0.1290 eV per atom

Unit cell a=5.0859 b=5.0859 c=5.0859 alpha=119.75 beta=119.75 gamma=90.43
Last column: nearest neighbours and their distance in Å.
Element x y z (fractional)
1 La 0.0000 0.0000 0.0000  8 Cd 3.12
2 Cr 0.5000 0.5000 0.0000  8 Cd 3.12
3 Cd 0.2500 0.7500 0.5000  4 Cr 3.12, 4 La 3.12
4 Cd 0.7500 0.2500 0.5000  4 Cr 3.12, 4 La 3.12

(5)
LaCrCd2 | GGA-PBEsol | optimized geometry

## Properties
* formation enthalpy at 0 K: 0.2329 eV per atom

Unit cell a=3.3461 b=3.3461 c=7.9587 alpha=90.00 beta=90.00 gamma=90.00
Last column: nearest neighbours and their distance in Å.
Element x y z (fractional)
1 La 0.0000 0.0000 0.0000  4 Cr 3.15, 4 La 3.35, 4 Cd 3.43
2 Cr 0.5000 0.5000 0.7384  4 Cd 2.82, 4 La 3.15
3 Cd 0.0000 0.0000 0.5465  4 Cr 2.82, 4 Cd 3.01
4 Cd 0.5000 0.5000 0.3122  8 Cd 3.01-3.35

(6)
LaCrCd | GGA-PBEsol | optimized geometry

## Properties
* formation enthalpy at 0 K: 0.9357 eV per atom

Unit cell a=5.0094 b=5.0094 c=5.0094 alpha=60.00 beta=60.00 gamma=60.00
Last column: nearest neighbours and their distance in Å.
Element x y z (fractional)
1 La 0.0000 0.0000 0.0000  4 Cr 3.07, 4 Cd 3.07
2 Cr 0.7500 0.7500 0.7500  4 La 3.07
3 Cd 0.2500 0.2500 0.2500  4 La 3.07

(7)
LaCrCdOs2 | GGA-PBEsol | optimized geometry

## Properties
* formation enthalpy at 0 K: 1.7304 eV per atom

Unit cell a=4.9165 b=4.9165 c=4.6804 alpha=90.00 beta=90.00 gamma=90.00
Last column: nearest neighbours and their distance in Å.
Element x y z (fractional)
1 La 0.0000 0.0000 0.0000  8 Os 3.39, 4 Cr 3.48
2 Cr 0.5000 0.5000 0.0000  2 Cd 2.34
3 Cd 0.5000 0.5000 0.5000  2 Cr 2.34, 4 Os 2.46
4 Os 0.0000 0.5000 0.5000  2 Cd 2.46
5 Os 0.5000 0.0000 0.5000  2 Cd 2.46

(8)
Li3CrCd | GGA-PBEsol | optimized geometry

## Properties
* formation enthalpy at 0 K: 0.7094 eV per atom

Unit cell a=4.8728 b=4.8728 c=4.8728 alpha=90.00 beta=90.00 gamma=90.00
Last column: nearest neighbours and their distance in Å.
Element x y z (fractional)
1 Li 0.0000 0.0000 0.5000  2 Cd 2.44
2 Li 0.0000 0.5000 0.0000  2 Cd 2.44
3 Li 0.5000 0.0000 0.0000  2 Cd 2.44
4 Cr 0.5000 0.5000 0.5000  12 Li 3.45
5 Cd 0.0000 0.0000 0.0000  6 Li 2.44

(9)
LiCr2Cd | GGA-PBEsol | optimized geometry

## Properties
* formation enthalpy at 0 K: 0.5141 eV per atom

Unit cell a=2.6100 b=4.4879 c=4.7971 alpha=90.00 beta=103.58 gamma=90.00
Last column: nearest neighbours and their distance in Å.
Element x y z (fractional)
1 Li 0.0000 0.0000 0.0000  2 Cd 2.40, 2 Li 2.61, 4 Cr 2.64
2 Cr 0.4778 0.5000 0.2033  1 Cr 1.98
3 Cr 0.5222 0.5000 0.7967  1 Cr 1.98
4 Cd 0.0000 0.0000 0.5000  2 Li 2.40, 2 Cd 2.61

(10)
MgCrCd4 | GGA-PBEsol | optimized geometry

## Properties
* formation enthalpy at 0 K: 0.2356 eV per atom

Unit cell a=5.5874 b=5.5874 c=5.5874 alpha=60.00 beta=60.00 gamma=60.00
Last column: nearest neighbours and their distance in Å.
Element x y z (fractional)
1 Mg 0.0000 0.0000 0.0000  12 Cd 3.28, 4 Cr 3.42
2 Cr 0.2500 0.2500 0.2500  12 Cd 3.28, 4 Mg 3.42
3 Cd 0.1260 0.6247 0.6247  6 Cd 2.79-2.80
4 Cd 0.6247 0.1260 0.6247  6 Cd 2.79-2.80
5 Cd 0.6247 0.6247 0.1260  6 Cd 2.79-2.80
6 Cd 0.6247 0.6247 0.6247  6 Cd 2.79-2.80

(11)
MgCrCd | GGA-PBEsol | optimized geometry

## Properties
* formation enthalpy at 0 K: 0.5675 eV per atom

Unit cell a=2.8440 b=2.8440 c=7.1552 alpha=90.00 beta=90.00 gamma=120.00
Last column: nearest neighbours and their distance in Å.
Element x y z (fractional)
1 Mg 0.0000 0.0000 0.0000  3 Cr 2.74, 6 Mg 2.84
2 Cr 0.3333 0.6667 0.3067  3 Mg 2.74, 3 Cd 2.82, 6 Cr 2.84
3 Cd 0.6667 0.3333 0.6276  3 Cr 2.82, 6 Cd 2.84, 3 Mg 3.13

(12)
MgCr2Cd | GGA-PBEsol | optimized geometry

## Properties
* formation enthalpy at 0 K: 0.7041 eV per atom

Unit cell a=2.6088 b=2.6088 c=8.9194 alpha=90.00 beta=90.00 gamma=101.78
Last column: nearest neighbours and their distance in Å.
Element x y z (fractional)
1 Mg 0.0000 0.0000 0.0000  4 Mg 2.61, 4 Cr 2.76
2 Cr 0.5000 0.5000 0.2478  4 Cr 2.61, 2 Mg 2.76, 2 Cd 2.79
3 Cr 0.5000 0.5000 0.7522  4 Cr 2.61, 2 Mg 2.76, 2 Cd 2.79
4 Cd 0.0000 0.0000 0.5000  4 Cd 2.61, 4 Cr 2.79

(13)
MgCr2Cd | GGA-PBEsol | optimized geometry

## Properties
* formation enthalpy at 0 K: 0.6219 eV per atom

Unit cell a=5.1562 b=5.1562 c=5.1562 alpha=142.77 beta=134.73 gamma=60.00
Last column: nearest neighbours and their distance in Å.
Element x y z (fractional)
1 Mg 0.0000 0.0000 0.0000  4 Cd 2.58, 4 Cr 2.77
2 Cr 0.2497 0.7497 0.5000  4 Cr 2.58, 2 Mg 2.77, 2 Cd 2.78
3 Cr 0.7503 0.2503 0.5000  4 Cr 2.58, 2 Mg 2.77, 2 Cd 2.78
4 Cd 0.5000 0.5000 0.0000  4 Mg 2.58, 4 Cr 2.78

(14)
MgCr2Cd | GGA-PBEsol | optimized geometry

## Properties
* formation enthalpy at 0 K: 0.6594 eV per atom

Unit cell a=5.1708 b=5.1708 c=2.6115 alpha=96.38 beta=96.38 gamma=120.31
Last column: nearest neighbours and their distance in Å.
Element x y z (fractional)
1 Mg 0.0000 0.0000 0.0000  2 Cd 2.57, 2 Mg 2.61, 4 Cr 2.76
2 Cr 0.0000 0.5000 0.5000  4 Cr 2.57-2.61, 2 Cd 2.76, 2 Mg 2.76
3 Cr 0.5000 0.0000 0.5000  4 Cr 2.57-2.61, 2 Cd 2.76, 2 Mg 2.76
4 Cd 0.5000 0.5000 0.0000  2 Mg 2.57, 2 Cd 2.61, 4 Cr 2.76

(15)
Mn2CrCd | GGA-PBEsol | optimized geometry

## Properties
* formation enthalpy at 0 K: 0.4398 eV per atom

Unit cell a=4.5635 b=4.5635 c=4.5635 alpha=129.65 beta=129.65 gamma=73.96
Last column: nearest neighbours and their distance in Å.
Element x y z (fractional)
1 Mn 0.2500 0.7500 0.5000  4 Cd 2.66, 4 Cr 2.66, 4 Mn 2.75
2 Mn 0.7500 0.2500 0.5000  4 Cd 2.66, 4 Cr 2.66, 4 Mn 2.75
3 Cr 0.0000 0.0000 0.0000  8 Mn 2.66, 4 Cd 2.75
4 Cd 0.5000 0.5000 0.0000  8 Mn 2.66, 4 Cr 2.75

(16)
MnCr2Cd | GGA-PBEsol | optimized geometry

## Properties
* formation enthalpy at 0 K: 0.4631 eV per atom

Unit cell a=8.3450 b=8.3450 c=8.3450 alpha=19.15 beta=19.15 gamma=19.15
Last column: nearest neighbours and their distance in Å.
Element x y z (fractional)
1 Mn 0.0000 0.0000 0.0000  3 Cr 2.41
2 Cr 0.2599 0.2599 0.2599  3 Cr 2.28, 3 Mn 2.41
3 Cr 0.5272 0.5272 0.5272  3 Cr 2.28
4 Cd 0.7625 0.7625 0.7625  6 Cd 2.78, 3 Mn 2.85, 3 Cr 2.89

(17)
MnCrCd2 | GGA-PBEsol | optimized geometry

## Properties
* formation enthalpy at 0 K: 0.5118 eV per atom
* excess energy over the best structure of this formula in the dataset: 0.005 eV/atom

Unit cell a=2.9645 b=3.8623 c=5.9335 alpha=90.00 beta=90.00 gamma=90.00
Last column: nearest neighbours and their distance in Å.
Element x y z (fractional)
1 Mn 0.0000 0.0000 0.0000  8 Cd 2.84, 2 Mn 2.96, 2 Cr 2.97
2 Cr 0.0000 0.0000 0.5000  8 Cd 2.86, 2 Cr 2.96, 2 Mn 2.97
3 Cd 0.5000 0.5000 0.2481  4 Mn 2.84, 4 Cr 2.86, 4 Cd 2.94-2.99
4 Cd 0.5000 0.5000 0.7519  4 Mn 2.84, 4 Cr 2.86, 4 Cd 2.94-2.99

(18)
MnCr2Cd | GGA-PBEsol | optimized geometry

## Properties
* formation enthalpy at 0 K: 0.5351 eV per atom

Unit cell a=4.9251 b=4.9251 c=4.9251 alpha=145.66 beta=128.99 gamma=62.94
Last column: nearest neighbours and their distance in Å.
Element x y z (fractional)
1 Mn 0.0000 0.0000 0.0000  4 Cr 2.40, 4 Cd 2.57
2 Cr 0.2280 0.7280 0.5000  2 Mn 2.40, 4 Cr 2.60
3 Cr 0.7720 0.2720 0.5000  2 Mn 2.40, 4 Cr 2.60
4 Cd 0.5000 0.5000 0.0000  4 Mn 2.57, 8 Cr 2.71-2.86

(19)
Mn2CrCd | GGA-PBEsol | optimized geometry

## Properties
* formation enthalpy at 0 K: 0.4413 eV per atom

Unit cell a=5.0078 b=5.0078 c=5.0078 alpha=145.13 beta=129.10 gamma=63.19
Last column: nearest neighbours and their distance in Å.
Element x y z (fractional)
1 Mn 0.0000 0.0000 0.0000  4 Cr 2.64, 2 Mn 2.67, 4 Cd 2.75-2.91
2 Mn 0.7407 0.2407 0.5000  2 Cr 2.28
3 Cr 0.5392 0.5392 0.0000  2 Mn 2.28
4 Cd 0.2700 0.7700 0.5000  8 Mn 2.64-2.91, 4 Cr 2.74-2.92

(20)
MnCrCd2 | GGA-PBEsol | optimized geometry

## Properties
* formation enthalpy at 0 K: 0.5063 eV per atom
* excess energy over the best structure of this formula in the dataset: 0.000 eV/atom

Unit cell a=4.6134 b=4.6134 c=3.2173 alpha=90.00 beta=90.00 gamma=90.00
Last column: nearest neighbours and their distance in Å.
Element x y z (fractional)
1 Mn 0.0000 0.0000 0.0000  8 Cd 2.81
2 Cr 0.5000 0.5000 0.0000  8 Cd 2.81
3 Cd 0.0000 0.5000 0.5000  4 Cr 2.81, 4 Mn 2.81
4 Cd 0.5000 0.0000 0.5000  4 Cr 2.81, 4 Mn 2.81

| no. | density of states at the Fermi level (states/eV/atom) | total moment (μB per formula unit) |
| --- | --- | --- |
| 1 | 0.510 | 4.073 |
| 2 | 1.076 | 5.840 |
| 3 | 1.016 | 3.848 |
| 4 | 0.463 | 4.561 |
| 5 | 0.933 | 3.387 |
| 6 | 1.034 | 3.928 |
| 7 | 1.189 | 3.471 |
| 8 | 0.491 | 4.919 |
| 9 | 0.735 | 0.000 |
| 10 | 0.192 | 4.256 |
| 11 | 0.894 | 0.000 |
| 12 | 0.849 | 0.006 |
| 13 | 0.876 | 0.008 |
| 14 | 0.830 | 0.004 |
| 15 | 0.844 | 3.330 |
| 16 | 0.923 | 2.296 |
| 17 | 0.742 | 7.231 |
| 18 | 0.993 | 0.621 |
| 19 | 0.672 | 3.071 |
| 20 | 0.697 | 7.429 |